A plane-wave DFT calculation with PBE was carried out for NaIn2Hg after structural relaxation.

Properties
- theoretical density (g cm⁻³) = 7.05
- uncorrected energy (eV/cell) = -15.3
- magnetic moment (μB per atom) = 0.00
- SG = No. 11
- energy of formation (meV/atom) = -133

Unit cell a=4.8091 b=7.9298 c=6.0866 alpha=90.00 beta=113.07 gamma=90.00
Last column: nearest neighbours and their distance in Å.
Positions (direct):
Na1 0.0788 0.2500 0.1546  3 Hg 3.18-3.42, 4 In 3.42-3.43
Na2 0.9212 0.7500 0.8454  3 Hg 3.18-3.42, 4 In 3.42-3.43
In1 0.3659 0.0477 0.7376  3 Hg 2.98-3.01, 2 In 3.04-3.21
In2 0.3659 0.4523 0.7376  3 Hg 2.98-3.01, 2 In 3.04-3.21
In3 0.6341 0.5477 0.2624  3 Hg 2.98-3.01, 2 In 3.04-3.21
In4 0.6341 0.9523 0.2624  3 Hg 2.98-3.01, 2 In 3.04-3.21
Hg1 0.2091 0.7500 0.4135  6 In 2.98-3.01, 1 Na 3.18
Hg2 0.7909 0.2500 0.5865  6 In 2.98-3.01, 1 Na 3.18

***

A plane-wave DFT calculation with PBE was carried out for Na8InHg5 after structural relaxation.

Properties
- theoretical density (g cm⁻³) = 5.35
- uncorrected energy (eV/cell) = -16.8
- magnetic moment (μB per atom) = 0.00
- SG = No. 82
- energy of formation (meV/atom) = -146

Unit cell a=8.0659 b=8.0659 c=8.0659 alpha=109.44 beta=109.44 gamma=109.53
Last column: nearest neighbours and their distance in Å.
Positions (direct):
Na1 0.0232 0.6186 0.7507  5 Hg 3.17-3.28, 1 In 3.34, 3 Na 3.50-3.55
Na2 0.2134 0.4611 0.0893  5 Hg 3.14-3.29, 1 In 3.20, 2 Na 3.47-3.50
Na3 0.3718 0.1241 0.9107  5 Hg 3.14-3.29, 1 In 3.20, 2 Na 3.47-3.50
Na4 0.3814 0.1320 0.4046  5 Hg 3.17-3.28, 1 In 3.34, 3 Na 3.50-3.55
Na5 0.5389 0.6282 0.7523  5 Hg 3.14-3.29, 1 In 3.20, 2 Na 3.47-3.50
Na6 0.7275 0.9768 0.5954  5 Hg 3.17-3.28, 1 In 3.34, 3 Na 3.50-3.55
Na7 0.8680 0.2725 0.2493  5 Hg 3.17-3.28, 1 In 3.34, 3 Na 3.50-3.55
Na8 0.8759 0.7866 0.2477  5 Hg 3.14-3.29, 1 In 3.20, 2 Na 3.47-3.50
In1 0.2500 0.7500 0.5000  8 Na 3.20-3.34
Hg1 0.0000 0.0000 0.0000  8 Na 3.17-3.23
Hg2 0.1362 0.2571 0.6281  8 Na 3.14-3.29
Hg3 0.4918 0.8638 0.1208  8 Na 3.14-3.29
Hg4 0.6290 0.5082 0.3719  8 Na 3.14-3.29
Hg5 0.7429 0.3710 0.8792  8 Na 3.14-3.29

***

Q: What is the magnetic moment in the second record?
A: 0.00 μB per atom